# 1
Here is a relaxed Rb4La2Sn crystal from Alexandria via LeMat-Bulk. Energies are from GGA-PBE.

```
data_Rb4La2Sn
_chemical_formula_sum 'Rb8 La4 Sn2'
_cell_length_a 7.183
_cell_length_b 7.183
_cell_length_c 18.812
_cell_angle_alpha 90.00
_cell_angle_beta 90.00
_cell_angle_gamma 90.00
_space_group_name_H-M_alt 'I 4/m m m'
_space_group_IT_number 139
_space_group_name_Hall '-I 4 2'
loop_
_atom_site_label
_atom_site_fract_x
_atom_site_fract_y
_atom_site_fract_z
Rb1 0.000 0.000 0.193
Rb2 0.000 0.500 0.000
La1 0.000 0.000 0.427
Sn1 0.000 0.000 0.000
```

# 2
# RbLaSn2 GGA-PBE relaxed
# Relative energy among the computed polymorphs   87 kJ/mol of formula units
data_RbLaSn2
_chemical_formula_sum 'Rb4 La4 Sn8'
_cell_length_a 5.780
_cell_length_b 5.780
_cell_length_c 22.235
_cell_angle_alpha 90.00
_cell_angle_beta 90.00
_cell_angle_gamma 90.00
_space_group_name_H-M_alt 'I -4 2 d'
_space_group_IT_number 122
_space_group_name_Hall 'I -4 2bw'
loop_
_atom_site_label
_atom_site_fract_x
_atom_site_fract_y
_atom_site_fract_z
Rb1 0.000 0.000 0.000
La1 0.000 0.000 0.500
Sn1 0.124 0.250 0.625

# 3
Here is a relaxed Rb2LaSn2 crystal from Alexandria via LeMat-Bulk. Energies are from GGA-PBE.

```
data_Rb2LaSn2
_chemical_formula_sum 'Rb4 La2 Sn4'
_cell_length_a 8.302
_cell_length_b 8.302
_cell_length_c 6.277
_cell_angle_alpha 90.00
_cell_angle_beta 90.00
_cell_angle_gamma 90.00
_space_group_name_H-M_alt 'P 4/m b m'
_space_group_IT_number 127
_space_group_name_Hall '-P 4 2ab'
loop_
_atom_site_label
_atom_site_fract_x
_atom_site_fract_y
_atom_site_fract_z
Rb1 0.168 0.332 0.000
La1 0.000 0.000 0.500
Sn1 0.124 0.624 0.500
```

# 4
Here is a relaxed Rb2LaTcSn crystal from Alexandria via LeMat-Bulk. Energies are from GGA-PBE.

```
data_Rb2LaTcSn
_chemical_formula_sum 'Rb2 La1 Tc1 Sn1'
_cell_length_a 6.946
_cell_length_b 6.946
_cell_length_c 5.797
_cell_angle_alpha 90.00
_cell_angle_beta 90.00
_cell_angle_gamma 90.00
_space_group_name_H-M_alt 'P 4/m m m'
_space_group_IT_number 123
_space_group_name_Hall '-P 4 2'
loop_
_atom_site_label
_atom_site_fract_x
_atom_site_fract_y
_atom_site_fract_z
Rb1 0.000 0.500 0.000
La1 0.000 0.000 0.000
Tc1 0.500 0.500 0.500
Sn1 0.000 0.000 0.500
```

What energy of formation from the pure elements values result from the calculations? In sequence: 0.628 0.039 -0.097 1.911 eV/atom.
What final energy values result from the calculations? In sequence: -0.07000 -0.12628 -0.11283 -0.08583 Ha/atom.